(1)
SrMgAs2: optimized geometry, GGA-PBE.

Lattice parameters (Å, degrees): 3.392 5.485 5.486 90.00 90.01 90.00
Fractional positions:
Sr 0.000 0.000 0.000
Mg 0.408 0.500 0.498
As 0.501 0.500 0.998
As 0.502 0.000 0.500

total energy: -3.641 eV/atom
energy of formation from the pure elements: -497 meV per atom
magnetization: 0.0 μB per formula unit
SG: Pm (6)

=====

(2)
SrMgAs2: optimized geometry, GGA-PBE.

Lattice parameters (Å, degrees): 5.203 5.203 5.203 125.93 106.96 96.98
Fractional positions:
Sr 0.000 0.000 0.000
Mg 0.500 0.500 0.000
As 0.305 0.805 0.500
As 0.695 0.195 0.500

total energy: -3.734 eV/atom
energy of formation from the pure elements: -590 meV per atom
magnetization: 0.0 μB per formula unit
SG: Immm (71)

=====

(3)
SrMg2As2: optimized geometry, GGA-PBE.

Lattice parameters (Å, degrees): 8.043 8.043 3.514 90.00 90.00 90.00
Fractional positions:
Sr 0.000 0.000 0.000
Sr 0.500 0.500 0.000
Mg 0.123 0.377 0.000
Mg 0.377 0.877 0.000
Mg 0.623 0.123 0.000
Mg 0.877 0.623 0.000
As 0.176 0.676 0.500
As 0.324 0.176 0.500
As 0.676 0.824 0.500
As 0.824 0.324 0.500

total energy: -3.309 eV/atom
energy of formation from the pure elements: -475 meV per atom
magnetization: 0.0 μB per formula unit
SG: P4/mbm (127)

=====

(4)
Sr3MgAs3: optimized geometry, GGA-PBE.

Lattice parameters (Å, degrees): 10.302 10.302 12.923 90.00 90.00 38.14
Fractional positions:
Sr 0.020 0.629 0.132
Sr 0.129 0.520 0.632
Sr 0.180 0.820 0.850
Sr 0.320 0.680 0.350
Sr 0.371 0.980 0.132
Sr 0.480 0.871 0.632
Sr 0.520 0.129 0.368
Sr 0.629 0.020 0.868
Sr 0.680 0.320 0.650
Sr 0.820 0.180 0.150
Sr 0.871 0.480 0.368
Sr 0.980 0.371 0.868
Mg 0.083 0.083 0.500
Mg 0.417 0.417 0.000
Mg 0.583 0.583 0.000
Mg 0.917 0.917 0.500
As 0.055 0.621 0.379
As 0.121 0.555 0.879
As 0.227 0.773 0.610
As 0.273 0.727 0.110
As 0.379 0.945 0.379
As 0.445 0.879 0.879
As 0.555 0.121 0.121
As 0.621 0.055 0.621
As 0.727 0.273 0.890
As 0.773 0.227 0.390
As 0.879 0.445 0.121
As 0.945 0.379 0.621

total energy: -3.904 eV/atom
energy of formation from the pure elements: -963 meV per atom
magnetization: 0.0 μB per formula unit
SG: Cmce (64)

=====

(5)
SrMgAs2: optimized geometry, GGA-PBE.

Lattice parameters (Å, degrees): 5.156 5.156 5.156 60.00 60.00 60.00
Fractional positions:
Sr 0.000 0.000 0.000
Mg 0.750 0.750 0.750
As 0.250 0.250 0.250
As 0.500 0.500 0.500

total energy: -3.265 eV/atom
energy of formation from the pure elements: -121 meV per atom
magnetization: 0.0 μB per formula unit
SG: F-43m (216)

=====

(6)
SrMgAs2: optimized geometry, GGA-PBE.

Lattice parameters (Å, degrees): 3.428 4.998 6.049 90.00 90.00 90.00
Fractional positions:
Sr 0.000 0.000 0.000
Mg 0.500 0.500 0.505
As 0.000 0.000 0.500
As 0.500 0.500 0.001

total energy: -3.573 eV/atom
energy of formation from the pure elements: -429 meV per atom
magnetization: 0.0 μB per formula unit
SG: Pmm2 (25)

=====

(7)
SrMgAs2: optimized geometry, GGA-PBE.

Lattice parameters (Å, degrees): 3.297 3.725 7.901 90.00 99.60 90.00
Fractional positions:
Sr 0.000 0.000 0.000
Mg 0.000 0.000 0.500
As 0.407 0.500 0.727
As 0.593 0.500 0.273

total energy: -3.678 eV/atom
energy of formation from the pure elements: -534 meV per atom
magnetization: 0.0 μB per formula unit
SG: P2/m (10)

=====

(8)
Sr3MgAs: optimized geometry, GGA-PBE.

Lattice parameters (Å, degrees): 6.028 6.028 6.028 90.00 90.00 90.00
Fractional positions:
Sr 0.000 0.000 0.500
Sr 0.000 0.500 0.000
Sr 0.500 0.000 0.000
Mg 0.500 0.500 0.500
As 0.000 0.000 0.000

total energy: -2.708 eV/atom
energy of formation from the pure elements: -450 meV per atom
magnetization: 0.0 μB per formula unit
SG: Pm-3m (221)

=====

(9)
SrMgAs2: optimized geometry, GGA-PBE.

Lattice parameters (Å, degrees): 4.605 4.605 6.311 106.03 106.03 52.33
Fractional positions:
Sr 0.000 0.000 0.000
Mg 0.500 0.500 0.500
As 0.237 0.237 0.684
As 0.763 0.763 0.316

total energy: -3.742 eV/atom
energy of formation from the pure elements: -598 meV per atom
magnetization: 0.0 μB per formula unit
SG: C2/m (12)

=====

(10)
SrMg3As: optimized geometry, GGA-PBE.

Lattice parameters (Å, degrees): 5.314 5.314 5.314 90.00 90.00 90.00
Fractional positions:
Sr 0.000 0.000 0.000
Mg 0.000 0.500 0.500
Mg 0.500 0.000 0.500
Mg 0.500 0.500 0.000
As 0.500 0.500 0.500

total energy: -2.281 eV/atom
energy of formation from the pure elements: -58 meV per atom
magnetization: 0.0 μB per formula unit
energy relative to the lowest polymorph listed for this composition: 0.000 eV/atom
SG: Pm-3m (221)

=====

(11)
SrMgAs2: optimized geometry, GGA-PBE.

Lattice parameters (Å, degrees): 6.426 6.426 4.329 109.06 109.06 39.56
Fractional positions:
Sr 0.000 0.000 0.000
Mg 0.254 0.254 0.781
As 0.395 0.395 0.418
As 0.619 0.619 0.554

total energy: -3.818 eV/atom
energy of formation from the pure elements: -674 meV per atom
magnetization: 0.0 μB per formula unit
SG: Cm (8)

=====

(12)
SrMgAs2: optimized geometry, GGA-PBE.

Lattice parameters (Å, degrees): 7.098 7.098 7.098 148.96 145.71 46.92
Fractional positions:
Sr 0.000 0.000 0.000
Mg 0.750 0.250 0.500
As 0.209 0.709 0.500
As 0.392 0.392 0.000

total energy: -3.623 eV/atom
energy of formation from the pure elements: -479 meV per atom
magnetization: 0.0 μB per formula unit
SG: Imm2 (44)